ScGaCoAu PBE optimized geometry; SG = No. 216; uncorrected energy = -5.326 eV per atom
1.0
6.344 0.000 0.000
0.000 6.344 0.000
0.000 0.000 6.344
Sc Ga Co Au
4 4 4 4
Cartesian
0.000 0.000 0.000
0.000 3.172 3.172
3.172 0.000 3.172
3.172 3.172 0.000
0.000 0.000 3.172
0.000 3.172 0.000
3.172 0.000 0.000
3.172 3.172 3.172
1.586 1.586 4.758
1.586 4.758 1.586
4.758 1.586 1.586
4.758 4.758 4.758
1.586 1.586 1.586
1.586 4.758 4.758
4.758 1.586 4.758
4.758 4.758 1.586

***

Tb3Zn3PtAu2 PBE optimized geometry; ΔE_f = -17.70 kcal/mol of atoms; SG = No. 189
1.0
7.428 0.000 0.000
-3.714 6.433 0.000
0.000 0.000 3.921
Tb Zn Pt Au
3 3 1 2
Cartesian
-2.244 3.887 0.000
1.470 2.546 0.000
4.488 0.000 0.000
-0.917 1.589 1.961
1.835 0.000 1.961
2.797 4.844 1.961
0.000 0.000 0.000
0.000 4.289 1.961
3.714 2.144 1.961